Entry 1:
# AcCuH6Ir2 | the Alexandria database | GGA-PBE | relaxed
# symmetry = C2/c, No. 15
# DOS(E_F) = 3.01 states/eV/cell
# crystal system = monoclinic
# VASP energy = -0.353 Ry/atom
# total magnetization = 0.000 μB per atom
data_AcCuH6Ir2
_chemical_formula_sum 'Ac2 Cu2 H12 Ir4'
_space_group_name_H-M_alt 'P 1'
_space_group_IT_number 1
_space_group_name_Hall 'P 1'
_cell_length_a 6.328
_cell_length_b 6.328
_cell_length_c 5.721
_cell_angle_alpha 103.64
_cell_angle_beta 103.64
_cell_angle_gamma 94.41
loop_
_atom_site_label
_atom_site_fract_x
_atom_site_fract_y
_atom_site_fract_z
Ac1 0.183 0.817 0.250
Ac2 0.817 0.183 0.750
Cu1 0.644 0.356 0.250
Cu2 0.356 0.644 0.750
H1 0.933 0.456 0.171
H2 0.544 0.067 0.329
H3 0.067 0.544 0.829
H4 0.456 0.933 0.671
H5 0.178 0.181 0.095
H6 0.819 0.822 0.405
H7 0.822 0.819 0.905
H8 0.181 0.178 0.595
H9 0.327 0.482 0.438
H10 0.518 0.673 0.062
H11 0.673 0.518 0.562
H12 0.482 0.327 0.938
Ir1 0.324 0.078 0.850
Ir2 0.922 0.676 0.650
Ir3 0.676 0.922 0.150
Ir4 0.078 0.324 0.350


Entry 2:
# ScCd2Si | the Alexandria database | GGA-PBE | relaxed
# symmetry = F-43m, No. 216
# formation energy from raw total energies = 9 meV/atom
# DOS(E_F) = 3.54 states/eV/cell
# crystal system = cubic
# total magnetization = 0.000 μB per atom
data_ScCd2Si
_chemical_formula_sum 'Sc1 Cd2 Si1'
_space_group_name_H-M_alt 'P 1'
_space_group_IT_number 1
_space_group_name_Hall 'P 1'
_cell_length_a 4.857
_cell_length_b 4.857
_cell_length_c 4.857
_cell_angle_alpha 60.00
_cell_angle_beta 60.00
_cell_angle_gamma 60.00
loop_
_atom_site_label
_atom_site_fract_x
_atom_site_fract_y
_atom_site_fract_z
Cd1 0.000 0.000 0.000
Cd2 0.250 0.250 0.250
Sc1 0.500 0.500 0.500
Si1 0.750 0.750 0.750


Entry 3:
# BW | the Alexandria database | GGA-PBE | relaxed
# symmetry = Pm-3n, No. 223
# DOS(E_F) = 12.78 states/eV/cell
# crystal system = cubic
# relative energy among the computed polymorphs = 143.57 kJ per mole of atoms
# total magnetization = 0.000 μB per atom
# ΔH_f (0 K) = 1119 meV/atom
data_BW
_chemical_formula_sum 'B6 W6'
_space_group_name_H-M_alt 'P 1'
_space_group_IT_number 1
_space_group_name_Hall 'P 1'
_cell_length_a 5.962
_cell_length_b 5.962
_cell_length_c 5.962
_cell_angle_alpha 90.00
_cell_angle_beta 90.00
_cell_angle_gamma 90.00
loop_
_atom_site_label
_atom_site_fract_x
_atom_site_fract_y
_atom_site_fract_z
B1 0.250 0.500 0.000
B2 0.750 0.500 0.000
B3 0.500 0.000 0.250
B4 0.500 0.000 0.750
B5 0.000 0.250 0.500
B6 0.000 0.750 0.500
W1 0.250 0.000 0.500
W2 0.750 0.000 0.500
W3 0.000 0.500 0.250
W4 0.000 0.500 0.750
W5 0.500 0.250 0.000
W6 0.500 0.750 0.000


Entry 4:
# Be2HCO | the Alexandria database | GGA-PBE | relaxed
# symmetry = P4/mmm, No. 123
# DOS(E_F) = 1.41 states/eV/cell
# crystal system = tetragonal
# VASP energy = -0.316 Ry/atom
# total magnetization = 0.000 μB per atom
data_Be2HCO
_chemical_formula_sum 'Be2 H1 C1 O1'
_space_group_name_H-M_alt 'P 1'
_space_group_IT_number 1
_space_group_name_Hall 'P 1'
_cell_length_a 3.318
_cell_length_b 3.880
_cell_length_c 3.318
_cell_angle_alpha 90.00
_cell_angle_beta 90.00
_cell_angle_gamma 90.00
loop_
_atom_site_label
_atom_site_fract_x
_atom_site_fract_y
_atom_site_fract_z
Be1 0.000 0.000 0.500
Be2 0.500 0.000 0.000
C1 0.000 0.000 0.000
O1 0.000 0.500 0.000
H1 0.500 0.500 0.500


Entry 5:
# MnSn2Pd8 | the Alexandria database | GGA-PBE | relaxed
# symmetry = Immm, No. 71
# DOS(E_F) = 4.02 states/eV/cell
# crystal system = orthorhombic
# relative energy among the computed polymorphs = 0.00 kJ per mole of atoms
# total magnetization = 0.418 μB per atom
# ΔH_f (0 K) = -388 meV/atom
data_MnSn2Pd8
_chemical_formula_sum 'Mn1 Sn2 Pd8'
_space_group_name_H-M_alt 'P 1'
_space_group_IT_number 1
_space_group_name_Hall 'P 1'
_cell_length_a 4.146
_cell_length_b 7.330
_cell_length_c 7.390
_cell_angle_alpha 119.73
_cell_angle_beta 106.29
_cell_angle_gamma 90.00
loop_
_atom_site_label
_atom_site_fract_x
_atom_site_fract_y
_atom_site_fract_z
Mn1 0.500 0.000 0.000
Sn1 0.181 0.681 0.362
Sn2 0.819 0.319 0.638
Pd1 0.660 0.895 0.320
Pd2 0.340 0.575 0.680
Pd3 0.150 0.150 0.299
Pd4 0.000 0.285 0.000
Pd5 0.850 0.850 0.701
Pd6 0.660 0.425 0.320
Pd7 0.340 0.105 0.680
Pd8 0.000 0.715 0.000


Entry 6:
# La2NdY3Tm6 | the Alexandria database | GGA-PBE | relaxed
# symmetry = C2/m, No. 12
# DOS(E_F) = 16.92 states/eV/cell
# crystal system = monoclinic
# total magnetization = 0.000 μB per atom
# ΔH_f (0 K) = 28 meV/atom
data_La2NdY3Tm6
_chemical_formula_sum 'La2 Nd1 Y3 Tm6'
_space_group_name_H-M_alt 'P 1'
_space_group_IT_number 1
_space_group_name_Hall 'P 1'
_cell_length_a 6.194
_cell_length_b 6.194
_cell_length_c 11.758
_cell_angle_alpha 95.03
_cell_angle_beta 95.03
_cell_angle_gamma 119.96
loop_
_atom_site_label
_atom_site_fract_x
_atom_site_fract_y
_atom_site_fract_z
La1 0.333 0.667 0.000
La2 0.667 0.333 0.000
Nd1 0.000 0.000 0.000
Y1 0.167 0.833 0.500
Y2 0.833 0.167 0.500
Y3 0.500 0.500 0.500
Tm1 0.915 0.582 0.746
Tm2 0.753 0.753 0.254
Tm3 0.085 0.418 0.254
Tm4 0.582 0.915 0.746
Tm5 0.247 0.247 0.746
Tm6 0.418 0.085 0.254


Entry 7:
# SnBi4PbSe8 | the Alexandria database | GGA-PBE | relaxed
# symmetry = R3m, No. 160
# formation energy from raw total energies = -359 meV/atom
# crystal system = trigonal
# total magnetization = 0.000 μB per atom
data_SnBi4PbSe8
_chemical_formula_sum 'Sn1 Bi4 Pb1 Se8'
_space_group_name_H-M_alt 'P 1'
_space_group_IT_number 1
_space_group_name_Hall 'P 1'
_cell_length_a 8.581
_cell_length_b 8.581
_cell_length_c 8.951
_cell_angle_alpha 61.36
_cell_angle_beta 61.36
_cell_angle_gamma 60.00
loop_
_atom_site_label
_atom_site_fract_x
_atom_site_fract_y
_atom_site_fract_z
Sn1 0.376 0.376 0.873
Bi1 0.625 0.625 0.126
Bi2 0.001 0.494 0.504
Bi3 0.494 0.001 0.504
Bi4 0.001 0.001 0.504
Pb1 0.002 0.002 0.994
Se1 0.250 0.772 0.728
Se2 0.772 0.250 0.728
Se3 0.250 0.250 0.728
Se4 0.238 0.238 0.286
Se5 0.752 0.229 0.267
Se6 0.229 0.752 0.267
Se7 0.752 0.752 0.267
Se8 0.758 0.758 0.725


Entry 8:
# MoWAu2 | the Alexandria database | GGA-PBE | relaxed
# symmetry = P2/m, No. 10
# DOS(E_F) = 3.95 states/eV/cell
# crystal system = monoclinic
# relative energy among the computed polymorphs = 16.18 kJ per mole of atoms
# total magnetization = 0.000 μB per atom
# ΔH_f (0 K) = 372 meV/atom
data_MoWAu2
_chemical_formula_sum 'Mo1 W1 Au2'
_space_group_name_H-M_alt 'P 1'
_space_group_IT_number 1
_space_group_name_Hall 'P 1'
_cell_length_a 4.382
_cell_length_b 2.752
_cell_length_c 6.169
_cell_angle_alpha 63.36
_cell_angle_beta 90.00
_cell_angle_gamma 90.00
loop_
_atom_site_label
_atom_site_fract_x
_atom_site_fract_y
_atom_site_fract_z
Au1 0.000 0.000 0.000
Au2 0.000 0.500 0.500
Mo1 0.500 0.250 0.250
W1 0.500 0.750 0.750


Entry 9:
# AlCuSe | the Alexandria database | GGA-PBE | relaxed
# symmetry = P4/nmm, No. 129
# formation energy from raw total energies = -2 meV/atom
# DOS(E_F) = 2.86 states/eV/cell
# crystal system = tetragonal
# relative energy among the computed polymorphs = 15.15 kJ per mole of atoms
# total magnetization = 0.000 μB per atom
data_AlCuSe
_chemical_formula_sum 'Al2 Cu2 Se2'
_space_group_name_H-M_alt 'P 1'
_space_group_IT_number 1
_space_group_name_Hall 'P 1'
_cell_length_a 3.896
_cell_length_b 3.896
_cell_length_c 6.587
_cell_angle_alpha 90.00
_cell_angle_beta 90.00
_cell_angle_gamma 90.00
loop_
_atom_site_label
_atom_site_fract_x
_atom_site_fract_y
_atom_site_fract_z
Cu1 0.000 0.500 0.757
Cu2 0.500 0.000 0.243
Se1 0.000 0.500 0.154
Se2 0.500 0.000 0.846
Al1 0.000 0.000 0.500
Al2 0.500 0.500 0.500


Entry 10:
# AcPmNd2Y6 | the Alexandria database | GGA-PBE | relaxed
# symmetry = C2/c, No. 15
# DOS(E_F) = 32.90 states/eV/cell
# crystal system = monoclinic
# total magnetization = 0.000 μB per atom
# ΔH_f (0 K) = 125 meV/atom
data_AcPmNd2Y6
_chemical_formula_sum 'Ac2 Pm2 Nd4 Y12'
_space_group_name_H-M_alt 'P 1'
_space_group_IT_number 1
_space_group_name_Hall 'P 1'
_cell_length_a 9.771
_cell_length_b 9.015
_cell_length_c 9.015
_cell_angle_alpha 118.06
_cell_angle_beta 93.37
_cell_angle_gamma 93.37
loop_
_atom_site_label
_atom_site_fract_x
_atom_site_fract_y
_atom_site_fract_z
Ac1 0.250 0.974 0.026
Ac2 0.750 0.026 0.974
Pm1 0.250 0.409 0.591
Pm2 0.750 0.591 0.409
Nd1 0.452 0.806 0.694
Nd2 0.048 0.306 0.194
Nd3 0.548 0.194 0.306
Nd4 0.952 0.694 0.806
Y1 0.058 0.127 0.745
Y2 0.442 0.255 0.873
Y3 0.942 0.873 0.255
Y4 0.558 0.745 0.127
Y5 0.318 0.978 0.437
Y6 0.182 0.563 0.022
Y7 0.682 0.022 0.563
Y8 0.818 0.437 0.978
Y9 0.115 0.708 0.493
Y10 0.385 0.507 0.292
Y11 0.885 0.292 0.507
Y12 0.615 0.493 0.708


Entry 11:
# BaSb2Br | the Alexandria database | GGA-PBE | relaxed
# symmetry = I4/mmm, No. 139
# formation energy from raw total energies = -879 meV/atom
# DOS(E_F) = 2.30 states/eV/cell
# crystal system = tetragonal
# relative energy among the computed polymorphs = 3.82 kJ per mole of atoms
# total magnetization = 0.000 μB per atom
data_BaSb2Br
_chemical_formula_sum 'Ba1 Sb2 Br1'
_space_group_name_H-M_alt 'P 1'
_space_group_IT_number 1
_space_group_name_Hall 'P 1'
_cell_length_a 7.506
_cell_length_b 7.506
_cell_length_c 7.506
_cell_angle_alpha 145.33
_cell_angle_beta 145.33
_cell_angle_gamma 49.85
loop_
_atom_site_label
_atom_site_fract_x
_atom_site_fract_y
_atom_site_fract_z
Sb1 0.000 0.000 0.000
Sb2 0.500 0.500 0.000
Ba1 0.250 0.750 0.500
Br1 0.750 0.250 0.500


Entry 12:
# BeSiOs | the Alexandria database | GGA-PBE | relaxed
# symmetry = P-6m2, No. 187
# formation energy from raw total energies = 20 meV/atom
# DOS(E_F) = 1.11 states/eV/cell
# crystal system = hexagonal
# total magnetization = 0.000 μB per atom
data_BeSiOs
_chemical_formula_sum 'Be1 Si1 Os1'
_space_group_name_H-M_alt 'P 1'
_space_group_IT_number 1
_space_group_name_Hall 'P 1'
_cell_length_a 2.859
_cell_length_b 3.842
_cell_length_c 3.842
_cell_angle_alpha 120.00
_cell_angle_beta 90.00
_cell_angle_gamma 90.00
loop_
_atom_site_label
_atom_site_fract_x
_atom_site_fract_y
_atom_site_fract_z
Os1 0.167 0.000 0.000
Si1 0.666 0.333 0.667
Be1 0.167 0.667 0.333


Question: Which of these has the highest total magnetization?
Answer: MnSn2Pd8


Question: Look up the total magnetization of the fourth one.
Answer: 0.000 μB per atom


Question: Number 9 is which compound?
Answer: AlCuSe


Copy entry 11 word for word.
# BaSb2Br | the Alexandria database | GGA-PBE | relaxed
# symmetry = I4/mmm, No. 139
# formation energy from raw total energies = -879 meV/atom
# DOS(E_F) = 2.30 states/eV/cell
# crystal system = tetragonal
# relative energy among the computed polymorphs = 3.82 kJ per mole of atoms
# total magnetization = 0.000 μB per atom
data_BaSb2Br
_chemical_formula_sum 'Ba1 Sb2 Br1'
_space_group_name_H-M_alt 'P 1'
_space_group_IT_number 1
_space_group_name_Hall 'P 1'
_cell_length_a 7.506
_cell_length_b 7.506
_cell_length_c 7.506
_cell_angle_alpha 145.33
_cell_angle_beta 145.33
_cell_angle_gamma 49.85
loop_
_atom_site_label
_atom_site_fract_x
_atom_site_fract_y
_atom_site_fract_z
Sb1 0.000 0.000 0.000
Sb2 0.500 0.500 0.000
Ba1 0.250 0.750 0.500
Br1 0.750 0.250 0.500